Record 1
Compound: Er4PdI5
Source: the Alexandria database
Functional: PBE
Structure: relaxed

Output
SG: C2/m
Electronic total energy, eV/cell: -42.002
Crystal system: monoclinic
Formation energy from raw total energies, eV/f.u.: -10.81

Cell lengths 9.955, 9.955, 8.874 Å; angles 101.91, 101.91, 23.88 degrees
Sites, in units of the cell vectors:
Er1 0.001 0.001 0.204
Er2 0.357 0.357 0.927
Er3 0.643 0.643 0.073
Er4 0.999 0.999 0.796
Pd1 0.500 0.500 0.000
I1 0.168 0.168 0.342
I2 0.180 0.180 0.833
I3 0.500 0.500 0.500
I4 0.820 0.820 0.167
I5 0.832 0.832 0.658


Record 2
Compound: CaRhC
Source: the Alexandria database
Functional: PBE
Structure: relaxed

Output
Energy relative to the elements, meV per atom: -20
SG: P3m1
Electronic total energy, eV/cell: -18.638
Crystal system: trigonal
Distance to the lowest polymorph of the same formula, meV/atom: 149

Cell lengths 3.360, 3.360, 4.842 Å; angles 90.00, 90.00, 120.00 degrees
Sites, in units of the cell vectors:
Ca1 0.000 0.000 0.000
Rh1 0.667 0.333 0.484
C1 0.333 0.667 0.356


Record 3
Compound: Pa3FeSi3Os2
Source: the Alexandria database
Functional: PBE
Structure: relaxed

Output
SG: P-62m
Electronic total energy, eV/cell: -81.129
Crystal system: hexagonal
Formation energy from raw total energies, eV/f.u.: -5.45

Cell lengths 6.903, 6.903, 3.902 Å; angles 90.00, 90.00, 120.00 degrees
Sites, in units of the cell vectors:
Pa1 0.000 0.406 0.000
Pa2 0.406 0.000 0.000
Pa3 0.594 0.594 0.000
Fe1 0.000 0.000 0.000
Si1 0.000 0.766 0.500
Si2 0.234 0.234 0.500
Si3 0.766 0.000 0.500
Os1 0.333 0.667 0.500
Os2 0.667 0.333 0.500


Record 4
Compound: ZrUTiPt
Source: the Alexandria database
Functional: PBE
Structure: relaxed

Output
Energy relative to the elements, meV per atom: -133
SG: F-43m
Electronic total energy, eV/cell: -34.304
Crystal system: cubic

Cell lengths 4.727, 4.727, 4.727 Å; angles 60.00, 60.00, 60.00 degrees
Sites, in units of the cell vectors:
Zr1 0.000 0.000 0.000
U1 0.750 0.750 0.750
Ti1 0.500 0.500 0.500
Pt1 0.250 0.250 0.250


Record 5
Compound: LiInPt2
Source: the Alexandria database
Functional: PBE
Structure: relaxed

Output
Energy relative to the elements, meV per atom: -492
SG: Cm
Electronic total energy, eV/cell: -18.700
Crystal system: monoclinic

Cell lengths 5.032, 5.032, 4.761 Å; angles 99.75, 99.75, 33.87 degrees
Sites, in units of the cell vectors:
Li1 0.000 0.000 0.000
In1 0.777 0.777 0.330
Pt1 0.251 0.251 0.830
Pt2 0.520 0.520 0.522


Record 6
Compound: SmHoRhPb
Source: the Alexandria database
Functional: PBE
Structure: relaxed

Output
Energy relative to the elements, meV per atom: -491
SG: F-43m
Electronic total energy, eV/cell: -22.321
Crystal system: cubic

Cell lengths 5.190, 5.190, 5.190 Å; angles 60.00, 60.00, 60.00 degrees
Sites, in units of the cell vectors:
Sm1 0.000 0.000 0.000
Ho1 0.500 0.500 0.500
Rh1 0.750 0.750 0.750
Pb1 0.250 0.250 0.250